Below is crystalline Y5Sn2Te at its relaxed geometry, with properties calculated at the PBE level.

a b c (Å): 6.3779 6.3779 6.6869
angles (deg): 107.29 107.29 100.53
Sites, in units of the cell vectors:
Y  0.0000  0.0000  0.0000
Y  0.0213  0.6251  0.4611
Y  0.4517  0.4517  0.0066
Y  0.5447  0.5447  0.5697
Y  0.6251  0.0213  0.4611
Sn  0.4702  0.9319  0.9232
Sn  0.9319  0.4702  0.9232
Te  0.1476  0.1476  0.4974

Raw formation energy (meV per atom): -622
Mass density (kg/m³): 5678
N(E_F) (states/eV/cell): 7.01

=====

Below is crystalline NaBPb at its relaxed geometry, with properties calculated at the PBE level.

a b c (Å): 5.4755 5.4755 5.9807
angles (deg): 119.38 119.38 73.98
Sites, in units of the cell vectors:
Na  0.1775  0.1775  0.4343
Na  0.8225  0.8225  0.5657
B  0.6182  0.2163  0.3348
B  0.7837  0.3818  0.6652
Pb  0.2128  0.5004  0.0951
Pb  0.4996  0.7872  0.9049

Energy of formation from the pure elements (kJ/mol of formula units): 123
Mass density (kg/m³): 5885
N(E_F) (states/eV/cell): 0.38